The following is a meta-GGA SCAN calculation of a crystal of Ta4Mo3 relaxed with PBEsol, from the Alexandria database.

abc: 2.825 6.933 6.933
angles: 118.19 97.80 97.80
Sites, in units of the cell vectors:
Mo 0.431 0.147 0.432
Mo 0.284 0.286 0.853
Mo 0.999 0.568 0.714
Ta 0.151 0.427 0.290
Ta 0.861 0.710 0.137
Ta 0.724 0.863 0.573
Ta 0.550 0.000 0.000

Properties
The calculated density is 14.6 Mg/m³. The calculation puts the offset from the most stable computed form at 45 meV per atom. The density of states at the Fermi level comes out at 5.74 states/eV/f.u. The formation energy is -105 meV per atom.



The following is a meta-GGA SCAN calculation of a crystal of Li4Ti2V3Fe3O16 relaxed with PBEsol, from the Alexandria database.

abc: 5.545 5.545 9.501
angles: 90.29 90.29 61.35
Last column: magnetic moment on the atom in μB.
Sites, in units of the cell vectors:
Li 0.665 0.665 0.896  0.00
Li 0.005 0.005 0.994  0.00
Li 0.003 0.003 0.491  0.00
Li 0.335 0.335 0.388  0.00
Ti 0.654 0.654 0.495  0.02
Ti 0.336 0.336 0.003  0.01
V 0.169 0.635 0.716  1.05
V 0.809 0.809 0.220  -0.57
V 0.635 0.169 0.716  1.05
Fe 0.351 0.831 0.213  0.65
Fe 0.831 0.351 0.213  0.65
Fe 0.181 0.181 0.711  -0.30
O 0.331 0.838 0.602  -0.01
O 0.522 0.522 0.336  0.02
O 0.661 0.661 0.093  0.05
O 0.002 0.002 0.302  0.03
O 0.001 0.001 0.802  -0.02
O 0.838 0.331 0.602  -0.01
O 0.518 0.970 0.344  0.02
O 0.970 0.518 0.344  0.02
O 0.170 0.170 0.105  0.00
O 0.832 0.832 0.601  -0.03
O 0.032 0.478 0.844  -0.02
O 0.478 0.032 0.844  -0.02
O 0.336 0.336 0.587  -0.04
O 0.161 0.672 0.103  0.00
O 0.482 0.482 0.839  0.00
O 0.672 0.161 0.103  0.00

Properties
The calculated density is 4.5 Mg/m³. The density of states at the Fermi level comes out at 5.68 states/eV/f.u. The energy relative to the elements, uncorrected comes out at -2437.6 meV/atom.



The following is a meta-GGA SCAN calculation of a crystal of BeTeAs relaxed with PBEsol, from the Alexandria database.

abc: 3.226 3.226 6.299
angles: 104.84 104.84 90.00
Sites, in units of the cell vectors:
Be 0.557 0.557 0.113
As 0.099 0.099 0.199
Te 0.344 0.344 0.688

Properties
The calculated density is 5.7 Mg/m³. The calculation puts the offset from the most stable computed form at 0 meV per atom. The density of states at the Fermi level comes out at 1.50 states/eV/f.u. The energy relative to the elements, uncorrected comes out at 250.9 meV/atom.



The following is a meta-GGA SCAN calculation of a crystal of Sr4ReSb relaxed with PBEsol, from the Alexandria database.

abc: 6.410 6.410 6.410
angles: 60.00 60.00 60.00
Last column: magnetic moment on the atom in μB.
Sites, in units of the cell vectors:
Re 0.750 0.750 0.750  2.25
Sb 0.000 0.000 0.000  0.02
Sr 0.375 0.375 0.375  -0.08
Sr 0.375 0.375 0.874  -0.08
Sr 0.874 0.375 0.375  -0.08
Sr 0.375 0.874 0.375  -0.08

Properties
The calculated density is 5.9 Mg/m³. The density of states at the Fermi level comes out at 3.03 states/eV/f.u. The energy relative to the elements, uncorrected comes out at 1095.7 meV/atom.



The following is a meta-GGA SCAN calculation of a crystal of CuMo2Ru relaxed with PBEsol, from the Alexandria database.

abc: 2.705 2.705 7.595
angles: 90.00 90.00 90.00
Sites, in units of the cell vectors:
Cu 0.500 0.500 0.500
Mo 0.000 0.000 0.750
Mo 0.000 0.000 0.250
Ru 0.500 0.500 0.000

Properties
The calculated density is 10.7 Mg/m³. The density of states at the Fermi level comes out at 3.88 states/eV/f.u. The formation energy is 194 meV per atom.



The following is a meta-GGA SCAN calculation of a crystal of LiPb relaxed with PBEsol, from the Alexandria database.

abc: 3.666 4.755 5.977
angles: 113.44 107.86 90.00
Sites, in units of the cell vectors:
Pb 0.617 0.367 0.234
Pb 0.383 0.633 0.766
Li 0.129 0.879 0.258
Li 0.871 0.121 0.742

Properties
The calculated density is 7.9 Mg/m³. The density of states at the Fermi level comes out at 0.64 states/eV/f.u. The formation energy is -325 meV per atom.



The following is a meta-GGA SCAN calculation of a crystal of LaFe3W relaxed with PBEsol, from the Alexandria database.

abc: 4.323 4.323 4.323
angles: 90.00 90.00 90.00
Last column: magnetic moment on the atom in μB.
Sites, in units of the cell vectors:
Fe 0.000 0.500 0.000  1.33
Fe 0.000 0.000 0.500  1.33
Fe 0.500 0.000 0.000  1.33
W 0.500 0.500 0.500  0.74
La 0.000 0.000 0.000  -0.28

Properties
The calculated density is 10.1 Mg/m³. The density of states at the Fermi level comes out at 4.98 states/eV/f.u. The formation energy is 2287 meV per atom.



The following is a meta-GGA SCAN calculation of a crystal of ReHgAu relaxed with PBEsol, from the Alexandria database.

abc: 2.802 2.802 6.754
angles: 101.97 101.97 90.00
Sites, in units of the cell vectors:
Au 0.991 0.991 0.982
Hg 0.670 0.670 0.340
Re 0.339 0.339 0.677

Properties
The calculated density is 19.1 Mg/m³. The calculation puts the offset from the most stable computed form at 0 meV per atom. The density of states at the Fermi level comes out at 1.74 states/eV/f.u. The formation energy is 673 meV per atom.



The following is a meta-GGA SCAN calculation of a crystal of BaSnIBr2 relaxed with PBEsol, from the Alexandria database.

abc: 6.447 5.927 5.927
angles: 90.00 90.00 90.00
Last column: magnetic moment on the atom in μB.
Sites, in units of the cell vectors:
I 0.000 0.000 0.000  0.00
Ba 0.500 0.000 0.000  0.05
Br 0.000 0.000 0.500  0.02
Br 0.000 0.500 0.000  0.02
Sn 0.500 0.500 0.500  0.48

Properties
The calculated density is 4.0 Mg/m³. The density of states at the Fermi level comes out at 2.81 states/eV/f.u. The energy relative to the elements, uncorrected comes out at -175.4 meV/atom.



The following is a meta-GGA SCAN calculation of a crystal of SiGePd2Ru relaxed with PBEsol, from the Alexandria database.

abc: 4.496 4.496 4.543
angles: 90.00 90.00 90.00
Last column: magnetic moment on the atom in μB.
Sites, in units of the cell vectors:
Ru 0.000 0.000 0.500  1.53
Ge 0.000 0.000 0.000  0.01
Si 0.500 0.500 0.500  0.12
Pd 0.000 0.500 0.000  0.09
Pd 0.500 0.000 0.000  0.09

Properties
The calculated density is 7.5 Mg/m³. The density of states at the Fermi level comes out at 2.30 states/eV/f.u. The energy relative to the elements, uncorrected comes out at 744.2 meV/atom.



The following is a meta-GGA SCAN calculation of a crystal of CoCu3Cl relaxed with PBEsol, from the Alexandria database.

abc: 4.269 4.269 4.269
angles: 90.00 90.00 90.00
Last column: magnetic moment on the atom in μB.
Sites, in units of the cell vectors:
Co 0.500 0.500 0.500  1.95
Cu 0.000 0.500 0.000  0.00
Cu 0.000 0.000 0.500  0.00
Cu 0.500 0.000 0.000  0.00
Cl 0.000 0.000 0.000  -0.01

Properties
The calculated density is 6.1 Mg/m³. The density of states at the Fermi level comes out at 2.62 states/eV/f.u. The energy relative to the elements, uncorrected comes out at 1109.3 meV/atom.



The following is a meta-GGA SCAN calculation of a crystal of YCuRe relaxed with PBEsol, from the Alexandria database.

abc: 4.326 4.326 4.326
angles: 60.00 60.00 60.00
Sites, in units of the cell vectors:
Cu 0.250 0.250 0.250
Re 0.000 0.000 0.000
Y 0.500 0.500 0.500

Properties
The calculated density is 9.8 Mg/m³. The calculation puts the offset from the most stable computed form at 308 meV per atom. The density of states at the Fermi level comes out at 4.69 states/eV/f.u. The formation energy is 712 meV per atom.



The following is a meta-GGA SCAN calculation of a crystal of Zn2PbAu2 relaxed with PBEsol, from the Alexandria database.

abc: 3.893 3.893 6.881
angles: 106.43 106.43 90.00
Sites, in units of the cell vectors:
Pb 0.000 0.000 0.000
Zn 0.250 0.750 0.500
Zn 0.750 0.250 0.500
Au 0.388 0.388 0.776
Au 0.612 0.612 0.224

Properties
The calculated density is 12.7 Mg/m³. The calculation puts the offset from the most stable computed form at 0 meV per atom. The density of states at the Fermi level comes out at 1.73 states/eV/f.u. The formation energy is -184 meV per atom.



The following is a meta-GGA SCAN calculation of a crystal of BeBiSb2I relaxed with PBEsol, from the Alexandria database.

abc: 4.977 5.049 5.049
angles: 90.00 90.00 90.00
Sites, in units of the cell vectors:
I 0.500 0.000 0.000
Sb 0.000 0.000 0.500
Sb 0.000 0.500 0.000
Bi 0.500 0.500 0.500
Be 0.000 0.000 0.000

Properties
The calculated density is 7.7 Mg/m³. The density of states at the Fermi level comes out at 4.32 states/eV/f.u. The energy relative to the elements, uncorrected comes out at 488.1 meV/atom.



The following is a meta-GGA SCAN calculation of a crystal of GeCBr2 relaxed with PBEsol, from the Alexandria database.

abc: 5.990 5.990 6.939
angles: 115.57 115.57 90.00
Sites, in units of the cell vectors:
Ge 0.250 0.750 0.500
Ge 0.000 0.000 0.000
C 0.750 0.250 0.500
C 0.500 0.500 0.000
Br 0.507 0.875 0.250
Br 0.743 0.375 0.250
Br 0.125 0.257 0.750
Br 0.625 0.493 0.750

Properties
The calculated density is 4.1 Mg/m³. The density of states at the Fermi level comes out at 3.13 states/eV/f.u. The energy relative to the elements, uncorrected comes out at 1708.6 meV/atom.



The following is a meta-GGA SCAN calculation of a crystal of Sc2AuF relaxed with PBEsol, from the Alexandria database.

abc: 3.924 3.924 7.295
angles: 74.40 74.40 60.00
Sites, in units of the cell vectors:
Sc 0.903 0.903 0.290
Sc 0.097 0.097 0.710
Au 0.500 0.500 0.500
F 0.000 0.000 0.000

Properties
The calculated density is 5.5 Mg/m³. The calculation puts the offset from the most stable computed form at 0 meV per atom. The density of states at the Fermi level comes out at 2.19 states/eV/f.u. The energy relative to the elements, uncorrected comes out at -1752.7 meV/atom.



The following is a meta-GGA SCAN calculation of a crystal of BeAgMo2 relaxed with PBEsol, from the Alexandria database.

abc: 3.543 3.673 4.323
angles: 90.00 90.00 90.00
Sites, in units of the cell vectors:
Be 0.000 0.500 0.500
Mo 0.000 0.000 0.000
Mo 0.500 0.500 0.000
Ag 0.500 0.000 0.500

Properties
The calculated density is 9.1 Mg/m³. The density of states at the Fermi level comes out at 2.01 states/eV/f.u. The formation energy is 329 meV per atom.



The following is a meta-GGA SCAN calculation of a crystal of Re4OsSe relaxed with PBEsol, from the Alexandria database.

abc: 5.129 5.129 5.129
angles: 60.00 60.00 60.00
Sites, in units of the cell vectors:
Os 0.000 0.000 0.000
Re 0.875 0.375 0.375
Re 0.375 0.375 0.375
Re 0.375 0.375 0.875
Re 0.375 0.875 0.375
Se 0.750 0.750 0.750

Properties
The calculated density is 17.7 Mg/m³. The density of states at the Fermi level comes out at 4.44 states/eV/f.u. The energy relative to the elements, uncorrected comes out at 1034.8 meV/atom.



The following is a meta-GGA SCAN calculation of a crystal of NbOsBr3 relaxed with PBEsol, from the Alexandria database.

abc: 5.088 5.088 5.088
angles: 90.00 90.00 90.00
Last column: magnetic moment on the atom in μB.
Sites, in units of the cell vectors:
Nb 0.000 0.000 0.000  -1.71
Os 0.500 0.500 0.500  3.12
Br 0.000 0.500 0.000  0.03
Br 0.000 0.000 0.500  0.03
Br 0.500 0.000 0.000  0.03

Properties
The calculated density is 6.6 Mg/m³. The density of states at the Fermi level comes out at 4.47 states/eV/f.u. The energy relative to the elements, uncorrected comes out at 1005.8 meV/atom.



The following is a meta-GGA SCAN calculation of a crystal of TcSbAu2N relaxed with PBEsol, from the Alexandria database.

abc: 4.156 4.156 4.742
angles: 90.00 90.00 90.00
Last column: magnetic moment on the atom in μB.
Sites, in units of the cell vectors:
Sb 0.000 0.000 0.500  -0.01
Au 0.000 0.500 0.000  0.02
Au 0.500 0.000 0.000  0.02
Tc 0.500 0.500 0.500  2.21
N 0.000 0.000 0.000  -0.01

Properties
The calculated density is 12.7 Mg/m³. The density of states at the Fermi level comes out at 2.48 states/eV/f.u. The energy relative to the elements, uncorrected comes out at 1072.4 meV/atom.



The following is a meta-GGA SCAN calculation of a crystal of BaMg2Pt relaxed with PBEsol, from the Alexandria database.

abc: 4.674 4.674 6.408
angles: 68.61 68.61 60.00
Sites, in units of the cell vectors:
Mg 0.051 0.051 0.848
Mg 0.772 0.772 0.684
Ba 0.245 0.245 0.264
Pt 0.432 0.432 0.704

Properties
The calculated density is 5.8 Mg/m³. The density of states at the Fermi level comes out at 2.06 states/eV/f.u. The formation energy is -616 meV per atom.



The following is a meta-GGA SCAN calculation of a crystal of InGaAs2 relaxed with PBEsol, from the Alexandria database.

abc: 5.880 5.880 7.167
angles: 114.22 114.22 90.00
Sites, in units of the cell vectors:
As 0.400 0.875 0.250
As 0.850 0.375 0.250
As 0.125 0.150 0.750
As 0.625 0.600 0.750
Ga 0.750 0.250 0.500
Ga 0.500 0.500 0.000
In 0.250 0.750 0.500
In 0.000 0.000 0.000

Properties
The calculated density is 5.5 Mg/m³. The calculation puts the offset from the most stable computed form at 0 meV per atom. The density of states at the Fermi level comes out at 0.02 states/eV/f.u. The formation energy is -340 meV per atom.



The following is a meta-GGA SCAN calculation of a crystal of Ba2MnGe2O7 relaxed with PBEsol, from the Alexandria database.

abc: 5.518 8.479 8.479
angles: 90.00 90.00 90.00
Last column: magnetic moment on the atom in μB.
Sites, in units of the cell vectors:
Ba 0.508 0.835 0.335  0.00
Ba 0.492 0.335 0.165  0.00
Ba 0.508 0.165 0.665  0.00
Ba 0.492 0.665 0.835  0.00
Mn 0.000 0.500 0.500  4.48
Mn 0.000 0.000 0.000  4.48
Ge 0.958 0.640 0.140  0.02
Ge 0.042 0.140 0.360  0.02
Ge 0.958 0.360 0.860  0.02
Ge 0.042 0.860 0.640  0.02
O 0.165 0.000 0.500  0.01
O 0.835 0.500 0.000  0.01
O 0.272 0.637 0.137  0.00
O 0.728 0.137 0.363  0.00
O 0.272 0.363 0.863  0.00
O 0.728 0.863 0.637  0.00
O 0.808 0.578 0.313  0.04
O 0.192 0.078 0.187  0.04
O 0.808 0.422 0.687  0.04
O 0.192 0.922 0.813  0.04
O 0.192 0.687 0.578  0.04
O 0.808 0.187 0.922  0.04
O 0.192 0.313 0.422  0.04
O 0.808 0.813 0.078  0.04

Properties
The calculated density is 4.9 Mg/m³. The energy relative to the elements, uncorrected comes out at -2418.8 meV/atom.



The following is a meta-GGA SCAN calculation of a crystal of Sc2HgMo relaxed with PBEsol, from the Alexandria database.

abc: 2.932 2.932 9.088
angles: 90.00 90.00 90.02
Sites, in units of the cell vectors:
Hg 0.000 0.000 0.490
Mo 0.500 0.500 0.256
Sc 0.000 0.000 0.023
Sc 0.500 0.500 0.731

Properties
The calculated density is 8.2 Mg/m³. The density of states at the Fermi level comes out at 3.19 states/eV/f.u. The formation energy is 126 meV per atom.



The following is a meta-GGA SCAN calculation of a crystal of Ni2SbMoP relaxed with PBEsol, from the Alexandria database.

abc: 4.509 4.533 4.533
angles: 90.00 90.00 90.00
Sites, in units of the cell vectors:
Sb 0.500 0.500 0.500
Mo 0.000 0.000 0.000
P 0.500 0.000 0.000
Ni 0.000 0.000 0.500
Ni 0.000 0.500 0.000

Properties
The calculated density is 6.6 Mg/m³. The density of states at the Fermi level comes out at 4.56 states/eV/f.u. The energy relative to the elements, uncorrected comes out at 976.0 meV/atom.



The following is a meta-GGA SCAN calculation of a crystal of HoGe3 relaxed with PBEsol, from the Alexandria database.

abc: 3.860 3.972 10.445
angles: 79.04 90.00 90.00
Sites, in units of the cell vectors:
Ho 0.250 0.082 0.836
Ho 0.750 0.918 0.164
Ge 0.250 0.810 0.381
Ge 0.750 0.190 0.619
Ge 0.250 0.689 0.622
Ge 0.750 0.311 0.378
Ge 0.250 0.460 0.080
Ge 0.750 0.540 0.920

Properties
The calculated density is 8.1 Mg/m³. The density of states at the Fermi level comes out at 1.21 states/eV/f.u. The formation energy is -491 meV per atom.